--- w ---
## Bi2OsPd (PBE)

Data for Bi2OsPd after structural relaxation.

Unit cell a=6.404 b=6.404 c=7.308 alpha=64.02 beta=64.02 gamma=90.00
Positions (direct):
1 Bi 0.375 0.365 0.750
2 Bi 0.115 0.625 0.250
3 Bi 0.875 0.885 0.750
4 Bi 0.635 0.125 0.250
5 Pd 0.250 0.750 0.500
6 Pd 0.500 0.500 0.000
7 Os 0.750 0.250 0.500
8 Os 0.000 0.000 0.000

=====

--- x ---
## Bi2OsPd (PBE)

Data for Bi2OsPd after structural relaxation.

Unit cell a=4.892 b=4.892 c=4.892 alpha=60.00 beta=60.00 gamma=60.00
Positions (direct):
1 Pd 0.000 0.000 0.000
2 Bi 0.250 0.250 0.250
3 Bi 0.750 0.750 0.750
4 Os 0.500 0.500 0.500

=====

x is favored, and the nearest alternative lies 0.217 eV/atom above it.

=====

--- w ---
## RbBi3Os (PBE)

Data for RbBi3Os after structural relaxation.

Unit cell a=5.525 b=5.525 c=5.525 alpha=90.00 beta=90.00 gamma=90.00
Positions (direct):
1 Os 0.000 0.000 0.000
2 Bi 0.000 0.500 0.000
3 Bi 0.000 0.000 0.500
4 Bi 0.500 0.000 0.000
5 Rb 0.500 0.500 0.500

=====

--- x ---
## RbBi3Os (PBE)

Data for RbBi3Os after structural relaxation.

Unit cell a=5.984 b=5.984 c=5.984 alpha=90.00 beta=90.00 gamma=90.00
Each line ends with the local moment (μB).
Positions (direct):
1 Bi 0.000 0.000 0.500  -0.03
2 Bi 0.000 0.500 0.000  0.07
3 Bi 0.500 0.000 0.000  0.05
4 Rb 0.000 0.000 0.000  0.03
5 Os 0.500 0.500 0.500  3.27

=====

w is favored, and the nearest alternative lies 1.977 eV/atom above it.

=====

--- w ---
## RbBi2Os2 (PBE)

Data for RbBi2Os2 after structural relaxation.

Unit cell a=8.533 b=8.533 c=3.206 alpha=90.00 beta=90.00 gamma=90.00
Positions (direct):
1 Bi 0.346 0.154 0.500
2 Bi 0.154 0.654 0.500
3 Bi 0.846 0.346 0.500
4 Bi 0.654 0.846 0.500
5 Rb 0.500 0.500 0.000
6 Rb 0.000 0.000 0.000
7 Os 0.876 0.624 0.000
8 Os 0.624 0.124 0.000
9 Os 0.376 0.876 0.000
10 Os 0.124 0.376 0.000

=====

--- x ---
## RbBi2Os2 (PBE)

Data for RbBi2Os2 after structural relaxation.

Unit cell a=5.016 b=5.016 c=6.218 alpha=66.22 beta=66.22 gamma=90.00
Positions (direct):
1 Os 0.385 0.385 0.230
2 Os 0.615 0.615 0.770
3 Bi 0.250 0.750 0.500
4 Bi 0.750 0.250 0.500
5 Rb 0.000 0.000 0.000

=====

x is favored, and the nearest alternative lies 0.271 eV/atom above it.

=====

--- w ---
## RbBi2Os (PBE)

Data for RbBi2Os after structural relaxation.

Unit cell a=5.201 b=5.201 c=5.201 alpha=60.00 beta=60.00 gamma=60.00
Positions (direct):
1 Bi 0.750 0.750 0.750
2 Bi 0.250 0.250 0.250
3 Rb 0.000 0.000 0.000
4 Os 0.500 0.500 0.500

=====

--- x ---
## RbBi2Os (PBE)

Data for RbBi2Os after structural relaxation.

Unit cell a=8.285 b=8.285 c=7.455 alpha=56.24 beta=56.24 gamma=90.00
Positions (direct):
1 Bi 0.013 0.625 0.250
2 Bi 0.375 0.263 0.750
3 Bi 0.875 0.987 0.750
4 Bi 0.737 0.125 0.250
5 Rb 0.500 0.500 0.000
6 Rb 0.250 0.750 0.500
7 Os 0.750 0.250 0.500
8 Os 0.000 0.000 0.000

=====

x is favored, and the nearest alternative lies 0.305 eV/atom above it.

=====

--- w ---
## Tl2ReBiOs (PBE)

Data for Tl2ReBiOs after structural relaxation.

Unit cell a=5.254 b=4.842 c=5.254 alpha=90.00 beta=90.00 gamma=90.00
Each line ends with the local moment (μB).
Positions (direct):
1 Bi 0.500 0.500 0.500  -0.17
2 Os 0.000 0.000 0.000  -0.07
3 Tl 0.000 0.000 0.500  -0.02
4 Tl 0.500 0.000 0.000  0.00
5 Re 0.000 0.500 0.000  1.26

=====

--- x ---
## Tl2ReBiOs (PBE)

Data for Tl2ReBiOs after structural relaxation.

Unit cell a=5.335 b=5.196 c=5.335 alpha=90.00 beta=90.00 gamma=90.00
Each line ends with the local moment (μB).
Positions (direct):
1 Os 0.500 0.500 0.500  2.71
2 Re 0.000 0.000 0.000  0.48
3 Tl 0.500 0.000 0.000  0.01
4 Tl 0.000 0.000 0.500  0.01
5 Bi 0.000 0.500 0.000  -0.05

=====

w is favored, and the nearest alternative lies 0.568 eV/atom above it.

=====

--- w ---
## Bi2OsRhSe (PBE)

Data for Bi2OsRhSe after structural relaxation.

Unit cell a=5.355 b=4.732 c=5.355 alpha=90.00 beta=90.00 gamma=90.00
Each line ends with the local moment (μB).
Positions (direct):
1 Bi 0.000 0.000 0.500  -0.01
2 Bi 0.500 0.000 0.000  -0.01
3 Os 0.000 0.500 0.000  1.24
4 Rh 0.000 0.000 0.000  0.04
5 Se 0.500 0.500 0.500  0.08

=====

--- x ---
## Bi2OsRhSe (PBE)

Data for Bi2OsRhSe after structural relaxation.

Unit cell a=5.489 b=4.467 c=5.489 alpha=90.00 beta=90.00 gamma=90.00
Each line ends with the local moment (μB).
Positions (direct):
1 Bi 0.500 0.000 0.000  -0.08
2 Bi 0.000 0.000 0.500  -0.08
3 Rh 0.000 0.500 0.000  0.11
4 Os 0.500 0.500 0.500  1.89
5 Se 0.000 0.000 0.000  0.00

=====

w is favored, and the nearest alternative lies 0.324 eV/atom above it.

=====

--- w ---
## BiOs2S (PBE)

Data for BiOs2S after structural relaxation.

Unit cell a=4.576 b=4.576 c=4.576 alpha=60.00 beta=60.00 gamma=60.00
Positions (direct):
1 S 0.000 0.000 0.000
2 Os 0.750 0.750 0.750
3 Os 0.250 0.250 0.250
4 Bi 0.500 0.500 0.500

=====

--- x ---
## BiOs2S (PBE)

Data for BiOs2S after structural relaxation.

Unit cell a=5.487 b=5.487 c=7.040 alpha=67.07 beta=67.07 gamma=90.00
Positions (direct):
1 Bi 0.750 0.250 0.500
2 Bi 0.000 0.000 0.000
3 S 0.250 0.750 0.500
4 S 0.500 0.500 0.000
5 Os 0.875 0.796 0.750
6 Os 0.204 0.625 0.250
7 Os 0.375 0.454 0.750
8 Os 0.546 0.125 0.250

=====

x is favored, and the nearest alternative lies 0.398 eV/atom above it.

=====

--- w ---
## BiSb3Os (PBE)

Data for BiSb3Os after structural relaxation.

Unit cell a=5.202 b=5.202 c=5.202 alpha=90.00 beta=90.00 gamma=90.00
Positions (direct):
1 Os 0.000 0.000 0.000
2 Bi 0.500 0.500 0.500
3 Sb 0.500 0.000 0.000
4 Sb 0.000 0.500 0.000
5 Sb 0.000 0.000 0.500

=====

--- x ---
## BiSb3Os (PBE)

Data for BiSb3Os after structural relaxation.

Unit cell a=5.722 b=5.722 c=5.722 alpha=90.00 beta=90.00 gamma=90.00
Each line ends with the local moment (μB).
Positions (direct):
1 Os 0.500 0.500 0.500  2.92
2 Sb 0.500 0.000 0.000  -0.05
3 Sb 0.000 0.500 0.000  -0.10
4 Sb 0.000 0.000 0.500  -0.09
5 Bi 0.000 0.000 0.000  0.02

=====

w is favored, and the nearest alternative lies 1.581 eV/atom above it.

=====

--- w ---
## BiSbOs2 (PBE)

Data for BiSbOs2 after structural relaxation.

Unit cell a=6.050 b=6.050 c=7.345 alpha=65.68 beta=65.68 gamma=90.00
Positions (direct):
1 Os 0.611 0.125 0.250
2 Os 0.139 0.625 0.250
3 Os 0.875 0.861 0.750
4 Os 0.375 0.389 0.750
5 Sb 0.500 0.500 0.000
6 Sb 0.250 0.750 0.500
7 Bi 0.000 0.000 0.000
8 Bi 0.750 0.250 0.500

=====

--- x ---
## BiSbOs2 (PBE)

Data for BiSbOs2 after structural relaxation.

Unit cell a=4.738 b=4.738 c=4.738 alpha=60.00 beta=60.00 gamma=60.00
Positions (direct):
1 Os 0.250 0.250 0.250
2 Os 0.750 0.750 0.750
3 Bi 0.500 0.500 0.500
4 Sb 0.000 0.000 0.000

=====

x is favored, and the nearest alternative lies 0.311 eV/atom above it.

=====

--- w ---
## BiSbTe2Os (PBE)

Data for BiSbTe2Os after structural relaxation.

Unit cell a=5.845 b=5.845 c=5.803 alpha=90.00 beta=90.00 gamma=90.00
Each line ends with the local moment (μB).
Positions (direct):
1 Bi 0.000 0.000 0.000  0.04
2 Te 0.000 0.500 0.000  0.03
3 Te 0.500 0.000 0.000  0.03
4 Os 0.500 0.500 0.500  3.34
5 Sb 0.000 0.000 0.500  -0.14

=====

--- x ---
## BiSbTe2Os (PBE)

Data for BiSbTe2Os after structural relaxation.

Unit cell a=5.336 b=5.336 c=5.082 alpha=90.00 beta=90.00 gamma=90.00
Positions (direct):
1 Te 0.500 0.000 0.000
2 Te 0.000 0.500 0.000
3 Os 0.000 0.000 0.000
4 Sb 0.000 0.000 0.500
5 Bi 0.500 0.500 0.500

=====

x is favored, and the nearest alternative lies 1.343 eV/atom above it.

=====

--- w ---
## ScBiOs3 (PBE)

Data for ScBiOs3 after structural relaxation.

Unit cell a=4.735 b=4.735 c=4.735 alpha=90.00 beta=90.00 gamma=90.00
Positions (direct):
1 Sc 0.000 0.000 0.000
2 Os 0.000 0.000 0.500
3 Os 0.000 0.500 0.000
4 Os 0.500 0.000 0.000
5 Bi 0.500 0.500 0.500

=====

--- x ---
## ScBiOs3 (PBE)

Data for ScBiOs3 after structural relaxation.

Unit cell a=4.915 b=4.915 c=4.915 alpha=90.00 beta=90.00 gamma=90.00
Positions (direct):
1 Os 0.000 0.500 0.000
2 Os 0.000 0.000 0.500
3 Os 0.500 0.000 0.000
4 Bi 0.000 0.000 0.000
5 Sc 0.500 0.500 0.500

=====

w is favored, and the nearest alternative lies 0.267 eV/atom above it.

=====

--- w ---
## Sc4BiOs (PBE)

Data for Sc4BiOs after structural relaxation.

Unit cell a=5.365 b=6.105 c=9.092 alpha=90.00 beta=116.31 gamma=90.00
Positions (direct):
1 Sc 0.386 0.750 0.176
2 Sc 0.935 0.493 0.257
3 Sc 0.065 0.993 0.743
4 Sc 0.614 0.250 0.824
5 Sc 0.935 0.007 0.257
6 Sc 0.586 0.250 0.444
7 Sc 0.414 0.750 0.556
8 Sc 0.065 0.507 0.743
9 Bi 0.298 0.250 0.073
10 Bi 0.702 0.750 0.927
11 Os 0.168 0.250 0.537
12 Os 0.832 0.750 0.463

=====

--- x ---
## Sc4BiOs (PBE)

Data for Sc4BiOs after structural relaxation.

Unit cell a=4.705 b=7.933 c=8.013 alpha=103.42 beta=107.07 gamma=89.98
Positions (direct):
1 Sc 0.677 0.116 0.854
2 Sc 0.173 0.487 0.845
3 Sc 0.940 0.140 0.381
4 Sc 0.323 0.884 0.146
5 Sc 0.827 0.513 0.155
6 Sc 0.539 0.348 0.578
7 Sc 0.060 0.860 0.619
8 Sc 0.461 0.652 0.422
9 Os 0.500 0.000 0.500
10 Os 0.000 0.500 0.500
11 Bi 0.303 0.248 0.107
12 Bi 0.697 0.752 0.893

=====

w is favored, and the nearest alternative lies 0.132 eV/atom above it.